Entry 1:
Here is a relaxed KBaSr2 crystal from Alexandria via LeMat-Bulk. Energies are from PBE.

Unit cell a=7.0121 b=7.0121 c=7.0121 alpha=60.00 beta=60.00 gamma=60.00
Last column: nearest neighbours and their distance in Å.
Atoms (fractional coordinates):
K: 0.0000 0.0000 0.0000  4 Ba 4.29, 4 Sr 4.29
Ba: 0.7500 0.7500 0.7500  4 K 4.29, 4 Sr 4.29
Sr: 0.2500 0.2500 0.2500  4 K 4.29, 4 Sr 4.29
Sr: 0.5000 0.5000 0.5000  4 Ba 4.29, 4 Sr 4.29

Calculated values
Crystal system   cubic
Calculated volume   244 Å³/cell
Magnetization   0.00 μB per formula unit
DFT formation energy   0.100 eV/atom
DFT total energy   -5.99 eV for the cell shown
SG   F-43m, No. 216

Entry 2:
Here is a relaxed KBa8Sr5 crystal from Alexandria via LeMat-Bulk. Energies are from PBE.

Unit cell a=10.5755 b=10.5755 c=10.5755 alpha=112.89 beta=112.89 gamma=102.83
Last column: nearest neighbours and their distance in Å.
Atoms (fractional coordinates):
K: 0.0000 0.0000 0.0000  4 Ba 3.90
Ba: 0.0783 0.6784 0.7503  1 K 3.90, 3 Sr 3.95-4.24
Ba: 0.2921 0.5476 0.1052  5 Sr 4.14-4.42, 3 Ba 4.43-4.57
Ba: 0.3216 0.0719 0.3999  1 K 3.90, 3 Sr 3.95-4.24
Ba: 0.4424 0.1869 0.8948  5 Sr 4.14-4.42, 3 Ba 4.43-4.57
Ba: 0.4524 0.5576 0.7445  5 Sr 4.14-4.42, 3 Ba 4.43-4.57
Ba: 0.6720 0.9217 0.6001  1 K 3.90, 3 Sr 3.95-4.24
Ba: 0.8131 0.7079 0.2555  5 Sr 4.14-4.42, 3 Ba 4.43-4.57
Ba: 0.9281 0.3280 0.2497  1 K 3.90, 3 Sr 3.95-4.24
Sr: 0.0264 0.1957 0.5943  8 Ba 4.24-4.54, 2 Sr 4.36
Sr: 0.2500 0.7500 0.5000  8 Ba 3.95-4.14
Sr: 0.5679 0.9736 0.1694  8 Ba 4.24-4.54, 2 Sr 4.36
Sr: 0.6014 0.4321 0.4057  8 Ba 4.24-4.54, 2 Sr 4.36
Sr: 0.8043 0.3986 0.8306  8 Ba 4.24-4.54, 2 Sr 4.36

Calculated values
Crystal system   tetragonal
Calculated volume   901 Å³/cell
Magnetization   0.00 μB per formula unit
DFT formation energy   0.146 eV/atom
DFT total energy   -22.84 eV for the cell shown
SG   I-4, No. 82

Entry 3:
Here is a relaxed KBaSr14 crystal from Alexandria via LeMat-Bulk. Energies are from PBE.

Unit cell a=8.6209 b=8.6209 c=12.0609 alpha=90.00 beta=90.00 gamma=90.00
Last column: nearest neighbours and their distance in Å.
Atoms (fractional coordinates):
K: 0.0000 0.0000 0.0000  12 Sr 4.31-4.34
Ba: 0.5000 0.5000 0.0000  12 Sr 4.31-4.32
Sr: 0.0000 0.0000 0.5000  12 Sr 4.25-4.31
Sr: 0.0000 0.5000 0.0000  2 Ba 4.31, 2 K 4.31, 8 Sr 4.33
Sr: 0.0000 0.5000 0.5000  12 Sr 4.24-4.31
Sr: 0.2509 0.2509 0.2551  10 Sr 4.24-4.33, 1 Ba 4.32, 1 K 4.34
Sr: 0.2509 0.2509 0.7449  10 Sr 4.24-4.33, 1 Ba 4.32, 1 K 4.34
Sr: 0.2509 0.7491 0.2551  10 Sr 4.24-4.33, 1 Ba 4.32, 1 K 4.34
Sr: 0.2509 0.7491 0.7449  10 Sr 4.24-4.33, 1 Ba 4.32, 1 K 4.34
Sr: 0.5000 0.0000 0.0000  2 Ba 4.31, 2 K 4.31, 8 Sr 4.33
Sr: 0.5000 0.0000 0.5000  12 Sr 4.24-4.31
Sr: 0.5000 0.5000 0.5000  12 Sr 4.24-4.31
Sr: 0.7491 0.2509 0.2551  10 Sr 4.24-4.33, 1 Ba 4.32, 1 K 4.34
Sr: 0.7491 0.2509 0.7449  10 Sr 4.24-4.33, 1 Ba 4.32, 1 K 4.34
Sr: 0.7491 0.7491 0.2551  10 Sr 4.24-4.33, 1 Ba 4.32, 1 K 4.34
Sr: 0.7491 0.7491 0.7449  10 Sr 4.24-4.33, 1 Ba 4.32, 1 K 4.34

Calculated values
Crystal system   tetragonal
Calculated volume   896 Å³/cell
Magnetization   0.00 μB per formula unit
DFT formation energy   0.019 eV/atom
DFT total energy   -26.25 eV for the cell shown
SG   P4/mmm, No. 123

Entry 4:
Here is a relaxed K4BaSr crystal from Alexandria via LeMat-Bulk. Energies are from PBE.

Unit cell a=8.2451 b=8.2451 c=8.2451 alpha=60.00 beta=60.00 gamma=60.00
Last column: nearest neighbours and their distance in Å.
Atoms (fractional coordinates):
K: 0.1248 0.1248 0.1248  6 K 4.12-4.13
K: 0.1248 0.1248 0.6256  6 K 4.12-4.13
K: 0.1248 0.6256 0.1248  6 K 4.12-4.13
K: 0.6256 0.1248 0.1248  6 K 4.12-4.13
Ba: 0.5000 0.5000 0.5000  12 K 4.83, 4 Sr 5.05
Sr: 0.7500 0.7500 0.7500  12 K 4.83, 4 Ba 5.05

Calculated values
Crystal system   cubic
Calculated volume   396 Å³/cell
Magnetization   0.00 μB per formula unit
DFT formation energy   0.126 eV/atom
DFT total energy   -7.24 eV for the cell shown
SG   F-43m, No. 216